GGA-PBE HfMgI2O, optimized geometry; DFT total energy = -4.31 eV per atom; energy above the most stable polymorph in this dataset = 653 meV/atom; formation energy from raw total energies = -186 kJ/mol of formula units; total magnetic moment = 0.00 μB per cell; mass density = 6.6 Mg/m³
1.0
5.697 0.000 0.000
0.000 5.697 0.000
0.000 0.000 3.648
Hf Mg I O
1 1 2 1
Direct
0.000 0.000 0.000
0.500 0.500 0.500
0.000 0.500 0.500
0.500 0.000 0.500
0.500 0.500 0.000